(1)
Here is a relaxed In2MoW crystal from Alexandria via LeMat-Bulk. Energies are from PBE.

* ΔH_f (0 K): 0.6601 eV/atom
* energy relative to the lowest polymorph listed for this composition: 140.0 kJ/mol of formula units

extended XYZ file:
```
4
Lattice="-2.319 -0.404 -3.826 -3.330 -0.939 2.117 -0.990 3.929 0.185" Properties=species:S:1:pos:R:3 pbc="T T T"
In 0.000 0.000 0.000
In -2.160 1.495 1.151
Mo -2.824 -0.671 -0.855
W -1.654 1.762 -1.821
```

=====

(2)
Here is a relaxed Zn2SbAsAu crystal from Alexandria via LeMat-Bulk. Energies are from PBE.

* uncorrected formation energy: 0.759 eV/atom

extended XYZ file:
```
5
Lattice="5.107 0.000 0.000 0.000 5.416 0.000 0.000 0.000 5.107" Properties=species:S:1:pos:R:3 pbc="T T T"
Sb 0.000 0.000 0.000
As 0.000 2.708 0.000
Au 2.554 2.708 2.554
Zn 0.000 0.000 2.554
Zn 2.554 0.000 0.000
```

=====

(3)
Here is a relaxed CaAg2Ir crystal from Alexandria via LeMat-Bulk. Energies are from PBE.

* ΔH_f (0 K): 0.1587 eV/atom
* energy relative to the lowest polymorph listed for this composition: 57.1 kJ/mol of formula units

extended XYZ file:
```
4
Lattice="-2.068 1.885 1.027 -2.182 -0.333 -3.784 -3.002 -4.450 2.122" Properties=species:S:1:pos:R:3 pbc="T T T"
Ca -2.875 -0.337 -0.848
Ir -4.376 -2.561 0.213
Ag -2.947 -4.368 2.083
Ag -1.556 -2.306 1.100
```

=====

(4)
Here is a relaxed LiIn3 crystal from Alexandria via LeMat-Bulk. Energies are from PBE.

* ΔH_f (0 K): -0.0804 eV/atom

extended XYZ file:
```
4
Lattice="3.420 0.000 0.000 -1.710 2.962 0.000 0.000 0.000 9.627" Properties=species:S:1:pos:R:3 pbc="T T T"
Li 1.710 0.987 7.221
In 0.000 0.000 9.476
In 0.000 0.000 4.965
In 1.710 0.987 2.407
```

=====

(5)
Here is a relaxed NaBiP2S8 crystal from Alexandria via LeMat-Bulk. Energies are from PBE.

* uncorrected formation energy: -0.189 eV/atom

extended XYZ file:
```
12
Lattice="6.135 0.000 0.000 3.067 5.313 0.000 3.067 1.771 8.988" Properties=species:S:1:pos:R:3 pbc="T T T"
Na 6.135 3.542 4.494
Bi 0.000 0.000 0.000
P 3.067 1.771 2.238
P 9.202 5.313 6.750
S 3.067 1.771 4.262
S 5.028 2.017 1.664
S 9.202 5.313 4.726
S 8.009 3.346 1.664
S 4.261 3.738 7.324
S 5.368 5.263 1.664
S 6.902 1.821 7.324
S 7.242 5.067 7.324
```

=====

(6)
Here is a relaxed Ca2Ac6La3Pr crystal from Alexandria via LeMat-Bulk. Energies are from PBE.

* ΔH_f (0 K): 0.0272 eV/atom

extended XYZ file:
```
12
Lattice="6.766 -0.005 0.001 -3.386 5.858 0.001 -1.129 -1.954 12.585" Properties=species:S:1:pos:R:3 pbc="T T T"
Ca -0.001 3.904 0.001
Ca 3.382 1.950 0.001
Ac 3.369 1.974 9.406
Ac 2.267 3.925 3.172
Ac -1.117 1.925 3.180
Ac 0.026 3.905 9.406
Ac -0.015 -0.026 9.415
Ac 2.226 -0.005 3.180
La -2.277 3.915 6.293
La 4.529 -0.016 6.293
La 1.126 1.950 6.293
Pr 0.000 0.000 0.000
```

=====

(7)
Here is a relaxed AcNdDy2Se6 crystal from Alexandria via LeMat-Bulk. Energies are from PBE.

* uncorrected formation energy: -1.882 eV/atom

extended XYZ file:
```
10
Lattice="7.460 0.000 0.001 3.730 6.461 0.000 3.730 2.154 6.518" Properties=species:S:1:pos:R:3 pbc="T T T"
Ac 11.191 6.461 3.818
Nd 3.730 2.154 0.397
Dy 7.461 4.307 2.945
Dy 3.730 2.154 6.281
Se 6.446 2.024 1.579
Se 5.990 6.327 1.579
Se 9.945 4.571 1.579
Se 8.295 6.331 4.838
Se 8.795 2.573 4.838
Se 5.291 4.020 4.838
```

=====

(8)
Here is a relaxed Pr2Dy3Pt4 crystal from Alexandria via LeMat-Bulk. Energies are from PBE.

* ΔH_f (0 K): -0.9961 eV/atom
* energy relative to the lowest polymorph listed for this composition: 122.2 kJ/mol of formula units

extended XYZ file:
```
18
Lattice="7.337 0.000 0.000 0.000 7.803 0.000 -3.668 0.000 7.942" Properties=species:S:1:pos:R:3 pbc="T T T"
Pr 0.000 4.666 1.588
Pr 3.668 3.138 6.354
Pr 0.000 0.764 6.354
Pr 3.668 7.039 1.588
Dy 0.000 0.000 0.000
Dy 3.668 3.902 0.000
Dy 1.834 5.852 4.571
Dy 5.503 1.951 3.370
Dy 1.834 1.951 3.370
Dy -1.834 5.852 4.571
Pt 1.834 5.852 7.375
Pt 5.503 1.951 0.567
Pt 1.834 1.951 0.567
Pt -1.834 5.852 7.375
Pt 0.000 7.422 3.067
Pt 3.668 0.381 4.875
Pt 0.000 3.520 4.875
Pt 3.668 4.283 3.067
```